No. 1
{
  "formula": "VRhSe",
  "functional": "GGA-PBE",
  "state": "optimized geometry",
  "spacegroup": "No. 11",
  "e_form_raw_ev_per_fu": -0.83,
  "vol_a3_per_atom": 15.863,
  "lattice_angstrom": [[5.1493, 0.0000, 0.0000], [0.0000, 3.1998, -0.0205], [0.0000, -1.5530, 5.7863]],
  "species": ["Se", "Se", "V", "V", "Rh", "Rh"],
  "fractional_positions": [[0.5000, 0.7257, 0.9466], [0.0000, 0.0124, 0.5246], [0.2500, 0.3691, 0.2356], [0.7500, 0.3691, 0.2356], [0.5000, 0.0081, 0.5149], [0.0000, 0.7302, 0.9563]]
}

***

No. 2
{
  "formula": "Ti2NiN",
  "functional": "GGA-PBE",
  "state": "optimized geometry",
  "spacegroup": "No. 225",
  "e_form_raw_ev_per_fu": 0.15,
  "vol_a3_per_atom": 11.752,
  "lattice_angstrom": [[0.0000, 2.8645, 2.8645], [2.8645, 0.0000, 2.8645], [2.8645, 2.8645, 0.0000]],
  "species": ["Ni", "N", "Ti", "Ti"],
  "fractional_positions": [[0.5000, 0.5000, 0.5000], [0.0000, 0.0000, 0.0000], [0.2500, 0.2500, 0.2500], [0.7500, 0.7500, 0.7500]]
}

***

No. 3
{
  "formula": "CaCo2Ir",
  "functional": "GGA-PBE",
  "state": "optimized geometry",
  "spacegroup": "No. 122",
  "formation_enthalpy_0k_ev_per_atom": 0.4293,
  "vol_a3_per_atom": 20.762,
  "lattice_angstrom": [[4.4691, 0.0000, 0.0000], [0.0000, 4.4691, 0.0000], [2.2345, 2.2345, 8.3164]],
  "species": ["Co", "Co", "Co", "Co", "Ca", "Ca", "Ir", "Ir"],
  "fractional_positions": [[0.8964, 0.6250, 0.2500], [0.8536, 0.1250, 0.2500], [0.8750, 0.1036, 0.7500], [0.3750, 0.1464, 0.7500], [0.5000, 0.5000, 0.0000], [0.2500, 0.7500, 0.5000], [0.0000, 0.0000, 0.0000], [0.7500, 0.2500, 0.5000]]
}

***

No. 4
{
  "formula": "Tm8SiP3S4",
  "functional": "GGA-PBE",
  "state": "optimized geometry",
  "spacegroup": "No. 166",
  "e_form_raw_ev_per_fu": -27.62,
  "vol_a3_per_atom": 21.335,
  "lattice_angstrom": [[-6.5339, -3.8466, -2.0288], [2.4578, -0.2500, -7.4412], [4.5697, -2.7833, 5.7424]],
  "species": ["S", "S", "S", "S", "Tm", "Tm", "Tm", "Tm", "Tm", "Tm", "Tm", "Tm", "P", "P", "P", "Si"],
  "fractional_positions": [[0.0000, 0.0000, 0.5000], [0.0000, 0.0000, 0.0000], [0.5000, 0.0000, 0.5000], [0.5000, 0.0000, 0.0000], [0.7524, 0.2574, 0.0051], [0.2531, 0.2593, 0.5062], [0.7524, 0.2575, 0.5047], [0.2476, 0.7426, 0.9949], [0.7473, 0.7426, 0.9949], [0.7469, 0.7407, 0.4938], [0.2476, 0.7425, 0.4953], [0.2527, 0.2574, 0.0051], [0.5000, 0.5000, 0.0000], [0.5000, 0.5000, 0.5000], [0.0000, 0.5000, 0.5000], [0.0000, 0.5000, 0.0000]]
}

***

No. 5
{
  "formula": "HfSn3Se",
  "functional": "GGA-PBE",
  "state": "optimized geometry",
  "spacegroup": "No. 221",
  "e_form_raw_ev_per_fu": 2.59,
  "vol_a3_per_atom": 34.497,
  "lattice_angstrom": [[-5.5107, -0.6711, -0.4098], [0.7610, -3.8222, -3.9746], [0.1978, -3.9908, 3.8756]],
  "species": ["Se", "Sn", "Sn", "Sn", "Hf"],
  "fractional_positions": [[0.5000, 0.5000, 0.5000], [0.0000, 0.5000, 0.0000], [0.5000, 0.0000, 0.0000], [0.0000, 0.0000, 0.5000], [0.0000, 0.0000, 0.0000]]
}

***

No. 6
{
  "formula": "Pr4SnI5",
  "functional": "GGA-PBE",
  "state": "optimized geometry",
  "spacegroup": "No. 12",
  "e_form_raw_ev_per_fu": -11.85,
  "vol_a3_per_atom": 40.255,
  "lattice_angstrom": [[4.4486, 0.0000, 0.0000], [0.0000, 9.3153, -0.3621], [-2.2243, -1.6987, 9.7802]],
  "species": ["Pr", "Pr", "Pr", "Pr", "I", "I", "I", "I", "I", "Sn"],
  "fractional_positions": [[0.0011, 0.2280, 0.0021], [0.9989, 0.7720, 0.9979], [0.6559, 0.0729, 0.3117], [0.3441, 0.9271, 0.6883], [0.8299, 0.1773, 0.6597], [0.1678, 0.3289, 0.3356], [0.8322, 0.6711, 0.6644], [0.1701, 0.8227, 0.3403], [0.5000, 0.5000, 0.0000], [0.5000, 0.0000, 0.0000]]
}

***

No. 7
{
  "formula": "NaAsPtO4",
  "functional": "GGA-PBE",
  "state": "optimized geometry",
  "spacegroup": "No. 216",
  "e_form_raw_ev_per_fu": -3.42,
  "vol_a3_per_atom": 24.416,
  "lattice_angstrom": [[-4.5777, 0.5403, 4.1899], [-0.0360, -3.6333, 5.0597], [1.1799, 2.4518, 5.6035]],
  "species": ["Pt", "Na", "O", "O", "O", "O", "As"],
  "fractional_positions": [[0.5000, 0.5000, 0.5000], [0.7500, 0.7500, 0.7500], [0.3640, 0.3640, 0.9079], [0.3640, 0.3640, 0.3640], [0.9079, 0.3640, 0.3640], [0.3640, 0.9079, 0.3640], [0.2500, 0.2500, 0.2500]]
}

***

No. 8
{
  "formula": "Cs2RbNa9",
  "functional": "GGA-PBE",
  "state": "optimized geometry",
  "spacegroup": "No. 166",
  "formation_enthalpy_0k_ev_per_atom": 0.0184,
  "vol_a3_per_atom": 51.315,
  "lattice_angstrom": [[7.5544, 0.0000, 0.0000], [3.7772, 6.5423, 0.0000], [3.7772, 2.1808, 12.4593]],
  "species": ["Na", "Na", "Na", "Na", "Na", "Na", "Na", "Na", "Na", "Cs", "Cs", "Rb"],
  "fractional_positions": [[0.4208, 0.9188, 0.2395], [0.6671, 0.6671, 0.9986], [0.5792, 0.5792, 0.7605], [0.9188, 0.4208, 0.2395], [0.5792, 0.0812, 0.7605], [0.3329, 0.3329, 0.0014], [0.4208, 0.4208, 0.2395], [0.5000, 0.5000, 0.5000], [0.0812, 0.5792, 0.7605], [0.8595, 0.8595, 0.4214], [0.1405, 0.1405, 0.5786], [0.0000, 0.0000, 0.0000]]
}

***

No. 9
{
  "formula": "SiBiTe3",
  "functional": "GGA-PBE",
  "state": "optimized geometry",
  "spacegroup": "No. 221",
  "e_form_raw_ev_per_fu": 1.69,
  "vol_a3_per_atom": 29.612,
  "lattice_angstrom": [[5.2903, 0.0000, 0.0000], [0.0000, 5.2903, 0.0000], [0.0000, 0.0000, 5.2903]],
  "species": ["Te", "Te", "Te", "Bi", "Si"],
  "fractional_positions": [[0.0000, 0.0000, 0.5000], [0.5000, 0.0000, 0.0000], [0.0000, 0.5000, 0.0000], [0.5000, 0.5000, 0.5000], [0.0000, 0.0000, 0.0000]]
}

***

No. 10
{
  "formula": "Tm7Th2",
  "functional": "GGA-PBE",
  "state": "optimized geometry",
  "spacegroup": "No. 162",
  "formation_enthalpy_0k_ev_per_atom": 0.0251,
  "vol_a3_per_atom": 30.645,
  "lattice_angstrom": [[-3.4448, 3.0323, 4.0058], [-2.0541, -0.9901, -5.6487], [-3.5152, -7.3941, 2.5744]],
  "species": ["Tm", "Tm", "Tm", "Tm", "Tm", "Tm", "Tm", "Th", "Th"],
  "fractional_positions": [[0.6646, 0.6646, 0.6680], [0.3354, 0.3354, 0.3320], [0.0000, 0.0000, 0.0000], [0.0000, 0.6646, 0.3320], [0.6646, 0.0000, 0.3320], [0.3354, 0.0000, 0.6680], [0.0000, 0.3354, 0.6680], [0.3333, 0.6667, 0.0000], [0.6667, 0.3333, 0.0000]]
}

***

No. 11
{
  "formula": "HoThHgPb",
  "functional": "GGA-PBE",
  "state": "optimized geometry",
  "spacegroup": "No. 216",
  "formation_enthalpy_0k_ev_per_atom": -0.3000,
  "vol_a3_per_atom": 28.147,
  "lattice_angstrom": [[-2.5174, 4.1194, 2.4638], [-0.2213, 0.1935, 5.4121], [2.8823, 3.7127, 2.6992]],
  "species": ["Pb", "Ho", "Th", "Hg"],
  "fractional_positions": [[0.2500, 0.2500, 0.2500], [0.0000, 0.0000, 0.0000], [0.5000, 0.5000, 0.5000], [0.7500, 0.7500, 0.7500]]
}

***

No. 12
{
  "formula": "AlBiAsBr2",
  "functional": "GGA-PBE",
  "state": "optimized geometry",
  "spacegroup": "No. 123",
  "e_form_raw_ev_per_fu": -0.16,
  "vol_a3_per_atom": 25.957,
  "lattice_angstrom": [[-2.3763, 0.3286, -4.3386], [2.3368, -4.0736, -1.5885], [-3.9092, -2.9891, 1.9147]],
  "species": ["Br", "Br", "As", "Al", "Bi"],
  "fractional_positions": [[0.0000, 0.5000, 0.0000], [0.5000, 0.0000, 0.0000], [0.0000, 0.0000, 0.5000], [0.0000, 0.0000, 0.0000], [0.5000, 0.5000, 0.5000]]
}

***

Summary of theoretical density in Mg/m³
8.1, 5.9, 7.0, 7.8, 5.9, 5.4, 3.5, 1.5, 7.0, 9.9, 11.9, 6.0
(order as listed above)
Summary of electronic total energy in eV per cell
-41.58, -29.75, -46.71, -101.55, -22.85, -42.73, -35.26, -14.33, -17.04, -45.91, -17.21, -15.78
(order as listed above)